The following is a GGA-PBEsol calculation of an optimized crystal structure of Mn2OsBr, from Alexandria via LeMat-Bulk.

Structure (POSCAR):
```
Mn2OsBr
1.0
-2.830 -1.744 1.590
-1.548 -0.502 -3.306
4.282 -2.644 0.450
Br Mn Os
1 2 1
Direct
0.250 0.750 0.500
0.000 0.000 0.000
0.750 0.250 0.500
0.500 0.500 0.000
```

DOS(E_F), states/eV per atom: 0.97
Formation energy without anion corrections, eV per atom: 1.042
SG: I-4m2
Magnetization, μB per formula unit: 6.79



The following is a GGA-PBEsol calculation of an optimized crystal structure of Li3SnBi, from Alexandria via LeMat-Bulk.

Structure (POSCAR):
```
Li3SnBi
1.0
-1.723 4.624 1.289
-2.582 -2.047 3.892
4.046 0.662 3.033
Li Bi Sn
3 1 1
Direct
0.000 0.500 0.000
0.000 0.000 0.500
0.500 0.000 0.000
0.000 0.000 0.000
0.500 0.500 0.500
```

DOS(E_F), states/eV per atom: 0.54
SG: Pm-3m
Magnetization, μB per formula unit: 0.00
ΔH_f (0 K), eV per atom: 0.0473



The following is a GGA-PBEsol calculation of an optimized crystal structure of RePt2Pb, from Alexandria via LeMat-Bulk.

Structure (POSCAR):
```
RePt2Pb
1.0
2.881 0.000 0.000
0.000 3.679 0.000
0.000 0.000 6.606
Pb Pt Re
1 2 1
Direct
0.500 0.500 0.755
0.000 0.000 0.034
0.500 0.500 0.265
0.000 0.000 0.445
```

DOS(E_F), states/eV per atom: 0.73
SG: Pmm2
Magnetization, μB per formula unit: 0.00
ΔH_f (0 K), eV per atom: 0.3722



The following is a GGA-PBEsol calculation of an optimized crystal structure of KCrMo, from Alexandria via LeMat-Bulk.

Structure (POSCAR):
```
KCrMo
1.0
2.516 0.000 0.000
0.000 5.001 0.000
0.000 -2.500 4.331
Cr K Mo
1 1 1
Direct
0.983 0.000 0.000
0.659 0.333 0.667
0.357 0.667 0.333
```

DOS(E_F), states/eV per atom: 0.79
SG: P3m1
Magnetization, μB per formula unit: 1.57
ΔH_f (0 K), eV per atom: 1.7471



The following is a GGA-PBEsol calculation of an optimized crystal structure of ReAsBr2O, from Alexandria via LeMat-Bulk.

Structure (POSCAR):
```
ReAsBr2O
1.0
4.716 0.000 0.000
0.000 5.004 0.000
0.000 0.000 5.004
Re As O Br
1 1 1 2
Direct
0.000 0.000 0.000
0.500 0.000 0.000
0.500 0.500 0.500
0.000 0.000 0.500
0.000 0.500 0.000
```

DOS(E_F), states/eV per atom: 1.55
Formation energy without anion corrections, eV per atom: 0.981
SG: P4/mmm
Magnetization, μB per formula unit: 1.01



The following is a GGA-PBEsol calculation of an optimized crystal structure of Be2Ir3, from Alexandria via LeMat-Bulk.

Structure (POSCAR):
```
Be2Ir3
1.0
3.827 0.000 0.000
-1.914 3.314 0.000
0.000 0.000 4.768
Be Ir
2 3
Direct
0.333 0.667 0.836
0.667 0.333 0.164
0.000 0.000 0.000
0.333 0.667 0.344
0.667 0.333 0.656
```

DOS(E_F), states/eV per atom: 0.81
SG: P-3m1
Magnetization, μB per formula unit: 0.00
ΔH_f (0 K), eV per atom: -0.1253